An optimized crystal structure of Ca3MoS. Source: the Alexandria database, functional GGA-PBE.

abc: 5.3823 5.3823 5.3823
angles: 90.00 90.00 90.00
Last column: nearest neighbours and their distance in Å.
Space group Pm-3m (No. 221)
Asymmetric unit:
1 Ca 0.0000 0.0000 0.5000  2 S 2.69
2 Mo 0.5000 0.5000 0.5000  12 Ca 3.81
3 S 0.0000 0.0000 0.0000  6 Ca 2.69

Results
Calculated density = 2.64 g/cm³
ΔE_f (raw) = -0.041 eV/atom

***

An optimized crystal structure of Re2SiPt. Source: the Alexandria database, functional GGA-PBE.

abc: 4.5806 5.4111 5.5106
angles: 61.53 89.24 80.33
Last column: nearest neighbours and their distance in Å.
Space group P1 (No. 1)
Asymmetric unit:
1 Re 0.0000 0.0000 0.0000  3 Si 2.59-2.83, 3 Re 2.60-2.65, 4 Pt 2.76-2.88
2 Re 0.0647 0.4765 0.4285  3 Si 2.49-2.60, 3 Re 2.62-2.66, 1 Pt 2.73
3 Re 0.4956 0.0625 0.7474  1 Si 2.44, 4 Re 2.60-2.72
4 Re 0.5836 0.5815 0.6637  2 Si 2.47-2.55, 2 Re 2.66-2.72
5 Si 0.0202 0.4875 0.9733  2 Pt 2.40-2.42, 3 Re 2.47-2.59, 1 Si 2.66
6 Si 0.5338 0.6211 0.1860  4 Re 2.44-2.60, 1 Pt 2.52, 1 Si 2.66
7 Pt 0.0168 0.9217 0.5405  1 Si 2.42
8 Pt 0.4718 0.1584 0.2067  2 Si 2.40-2.52

Results
Calculated density = 16.76 g/cm³
ΔE_f (raw) = -0.117 eV/atom

***

An optimized crystal structure of HoScPa2. Source: the Alexandria database, functional GGA-PBE.

abc: 3.2643 3.2643 33.5159
angles: 90.00 90.00 120.00
Last column: nearest neighbours and their distance in Å.
Space group R3m (No. 160, hexagonal axes)
Asymmetric unit:
1 Ho 0.0000 0.0000 0.0000  6 Ho 3.26, 6 Pa 3.42-3.44
2 Sc 0.0000 0.0000 0.1674  6 Sc 3.26, 6 Pa 3.30-3.32
3 Pa 0.0000 0.0000 0.5815  6 Pa 3.26, 3 Sc 3.30, 3 Ho 3.42
4 Pa 0.0000 0.0000 0.7524  6 Pa 3.26, 3 Sc 3.32, 3 Ho 3.44

Results
Calculated density = 10.82 g/cm³
Raw total energy = -7.34 eV/atom

***

An optimized crystal structure of Pr4CdGa2Hg. Source: the Alexandria database, functional GGA-PBE.

abc: 5.3863 5.3863 26.4017
angles: 90.00 90.00 120.00
Last column: nearest neighbours and their distance in Å.
Space group R-3m (No. 166, hexagonal axes)
Asymmetric unit:
1 Pr 0.0000 0.0000 0.1242  4 Ga 3.28, 1 Hg 3.28, 3 Cd 3.31
2 Pr 0.0000 0.0000 0.3742  3 Hg 3.29, 1 Cd 3.32, 4 Ga 3.32
3 Cd 0.0000 0.0000 0.5000  8 Pr 3.31-3.32
4 Ga 0.0000 0.0000 0.2483  8 Pr 3.28-3.32
5 Hg 0.0000 0.0000 0.0000  8 Pr 3.28-3.29

Results
Calculated density = 7.63 g/cm³
Raw total energy = -3.76 eV/atom

***

An optimized crystal structure of NdEr2InC. Source: the Alexandria database, functional GGA-PBE.

abc: 4.8873 4.8873 5.1263
angles: 90.00 90.00 90.00
Last column: nearest neighbours and their distance in Å.
Space group P4/mmm (No. 123)
Asymmetric unit:
1 Nd 0.0000 0.0000 0.0000  2 C 2.56
2 Er 0.0000 0.5000 0.5000  2 C 2.44
3 In 0.5000 0.5000 0.0000  4 Nd 3.46, 8 Er 3.54
4 C 0.0000 0.0000 0.5000  4 Er 2.44, 2 Nd 2.56

Results
Calculated density = 8.21 g/cm³
Raw total energy = -5.62 eV/atom

***

An optimized crystal structure of Sr2CrCl. Source: the Alexandria database, functional GGA-PBE.

abc: 8.3614 8.3614 8.6154
angles: 90.00 90.00 90.00
Last column: nearest neighbours and their distance in Å.
Space group I-42d (No. 122)
Asymmetric unit:
1 Sr 0.2152 0.2500 0.1250  2 Cl 2.96
2 Cr 0.0000 0.0000 0.5000  4 Sr 3.35
3 Cl 0.0000 0.0000 0.0000  4 Sr 2.96

Results
Calculated density = 2.90 g/cm³
ΔE_f (raw) = -0.260 eV/atom

***

An optimized crystal structure of CaPmAlO4. Source: the Alexandria database, functional GGA-PBE.

abc: 3.6930 3.6930 12.1884
angles: 90.00 90.00 90.00
Last column: nearest neighbours and their distance in Å.
Space group I4mm (No. 107)
Asymmetric unit:
1 Ca 0.0000 0.0000 0.0000  1 O 2.29
2 Pm 0.0000 0.0000 0.7135  5 O 2.32-2.51
3 Al 0.0000 0.0000 0.3648  5 O 1.85-1.93
4 O 0.0000 0.0000 0.1878  1 Al 2.16, 1 Ca 2.29
5 O 0.0000 0.0000 0.5228  1 Al 1.93
6 O 0.0000 0.5000 0.3525  2 Al 1.85

Results
Calculated density = 5.52 g/cm³
ΔE_f (raw) = -3.177 eV/atom

***

An optimized crystal structure of Na3GaAu8. Source: the Alexandria database, functional GGA-PBE.

abc: 5.5898 5.5898 27.6750
angles: 90.00 90.00 120.00
Last column: nearest neighbours and their distance in Å.
Space group R3m (No. 160, hexagonal axes)
Asymmetric unit:
1 Na 0.0000 0.0000 0.0000  12 Au 3.28-3.32, 4 Na 3.41-3.48
2 Na 0.0000 0.0000 0.1256  12 Au 3.27-3.31, 1 Na 3.48, 3 Ga 3.51
3 Na 0.0000 0.0000 0.6264  12 Au 3.26-3.32, 1 Ga 3.26, 3 Na 3.41
4 Ga 0.0000 0.0000 0.5085  12 Au 3.16-3.53, 4 Na 3.26-3.51
5 Au 0.0000 0.0000 0.3118  6 Au 2.81-2.82
6 Au 0.0000 0.0000 0.8113  6 Au 2.80-2.82
7 Au 0.9999 0.5000 0.5617  6 Au 2.79-2.82
8 Au 0.0006 0.5003 0.0619  6 Au 2.79-2.81

Results
Calculated density = 11.40 g/cm³
Raw total energy = -3.02 eV/atom

***

Question: Number 3 is which compound?
Answer: HoScPa2